Nd6ZnGa2 | PBE | relaxed

Structure (CIF):
```
data_Nd6ZnGa2
_chemical_formula_sum 'Nd12 Zn2 Ga4'
_symmetry_space_group_name_H-M 'P 1'
_symmetry_Int_Tables_number 1
_symmetry_space_group_name_Hall 'P 1'
_cell_length_a 8.839
_cell_length_b 8.839
_cell_length_c 8.839
_cell_angle_alpha 106.60
_cell_angle_beta 111.03
_cell_angle_gamma 110.81
loop_
_atom_site_label
_atom_site_type_symbol
_atom_site_fract_x
_atom_site_fract_y
_atom_site_fract_z
_atom_site_occupancy
Nd1 Nd 0.197 0.749 0.946 1
Nd2 Nd 0.803 0.749 0.552 1
Nd3 Nd 0.291 0.617 0.327 1
Ga1 Ga 0.645 0.000 0.645 1
Nd4 Nd 0.709 0.036 0.327 1
Nd5 Nd 0.440 0.266 0.174 1
Ga2 Ga 0.500 0.378 0.878 1
Nd6 Nd 0.908 0.734 0.174 1
Nd7 Nd 0.291 0.964 0.673 1
Nd8 Nd 0.803 0.251 0.054 1
Zn1 Zn 0.000 0.000 0.000 1
Zn2 Zn 0.000 0.500 0.500 1
Ga3 Ga 0.355 0.000 0.355 1
Nd9 Nd 0.560 0.734 0.826 1
Nd10 Nd 0.709 0.383 0.673 1
Ga4 Ga 0.500 0.622 0.122 1
Nd11 Nd 0.197 0.251 0.448 1
Nd12 Nd 0.092 0.266 0.826 1
```

**Symmetry**: Immm (71)
**Calculated volume**: 29.48 Å³ per atom
**Polymorph energy (0 for the lowest one)**: 0 meV/atom
**DOS at the Fermi energy**: 22.15 states/eV/cell
**Energy relative to the elements**: -0.2987 eV per atom
**Uncorrected energy**: -4.291 eV/atom

TaNb2Se | PBE | relaxed

Structure (CIF):
```
data_TaNb2Se
_chemical_formula_sum 'Ta2 Nb4 Se2'
_symmetry_space_group_name_H-M 'P 1'
_symmetry_Int_Tables_number 1
_symmetry_space_group_name_Hall 'P 1'
_cell_length_a 3.942
_cell_length_b 3.942
_cell_length_c 10.120
_cell_angle_alpha 78.77
_cell_angle_beta 78.77
_cell_angle_gamma 90.00
loop_
_atom_site_label
_atom_site_type_symbol
_atom_site_fract_x
_atom_site_fract_y
_atom_site_fract_z
_atom_site_occupancy
Nb1 Nb 0.135 0.625 0.250 1
Nb2 Nb 0.875 0.865 0.750 1
Se1 Se 0.250 0.750 0.500 1
Se2 Se 0.500 0.500 0.000 1
Ta1 Ta 0.000 0.000 0.000 1
Ta2 Ta 0.750 0.250 0.500 1
Nb3 Nb 0.615 0.125 0.250 1
Nb4 Nb 0.375 0.385 0.750 1
```

**Symmetry**: I-42d (122)
**Calculated volume**: 18.90 Å³ per atom
**Energy relative to the elements, uncorrected**: 36.0 kJ per mole of atoms
**DOS at the Fermi energy**: 5.83 states/eV/cell
**Uncorrected energy**: -8.496 eV/atom

AcHg2Ge | PBE | relaxed

Structure (CIF):
```
data_AcHg2Ge
_chemical_formula_sum 'Ac1 Hg2 Ge1'
_symmetry_space_group_name_H-M 'P 1'
_symmetry_Int_Tables_number 1
_symmetry_space_group_name_Hall 'P 1'
_cell_length_a 4.825
_cell_length_b 4.825
_cell_length_c 6.175
_cell_angle_alpha 67.00
_cell_angle_beta 67.00
_cell_angle_gamma 60.00
loop_
_atom_site_label
_atom_site_type_symbol
_atom_site_fract_x
_atom_site_fract_y
_atom_site_fract_z
_atom_site_occupancy
Ac1 Ac 0.000 0.000 0.000 1
Hg1 Hg 0.773 0.773 0.680 1
Ge1 Ge 0.500 0.500 0.500 1
Hg2 Hg 0.227 0.227 0.320 1
```

**Symmetry**: R-3m (166)
**Calculated volume**: 27.78 Å³ per atom
**DOS at the Fermi energy**: 2.24 states/eV/cell
**Energy relative to the elements**: -0.3258 eV per atom
**Uncorrected energy**: -2.658 eV/atom

RbLaGe2O6 | PBE | relaxed

Structure (CIF):
```
data_RbLaGe2O6
_chemical_formula_sum 'Rb2 La2 Ge4 O12'
_symmetry_space_group_name_H-M 'P 1'
_symmetry_Int_Tables_number 1
_symmetry_space_group_name_Hall 'P 1'
_cell_length_a 7.652
_cell_length_b 7.652
_cell_length_c 5.796
_cell_angle_alpha 98.36
_cell_angle_beta 98.36
_cell_angle_gamma 87.73
loop_
_atom_site_label
_atom_site_type_symbol
_atom_site_fract_x
_atom_site_fract_y
_atom_site_fract_z
_atom_site_occupancy
La1 La 0.380 0.620 0.750 1
O1 O 0.545 0.686 0.144 1
O2 O 0.455 0.314 0.856 1
O3 O 0.921 0.378 0.232 1
Rb1 Rb 0.172 0.828 0.250 1
O4 O 0.825 0.852 0.970 1
O5 O 0.622 0.079 0.268 1
Rb2 Rb 0.828 0.172 0.750 1
O6 O 0.852 0.825 0.470 1
O7 O 0.079 0.622 0.768 1
O8 O 0.175 0.148 0.030 1
O9 O 0.378 0.921 0.732 1
Ge1 Ge 0.139 0.304 0.289 1
La2 La 0.620 0.380 0.250 1
O10 O 0.314 0.455 0.356 1
O11 O 0.686 0.545 0.644 1
Ge2 Ge 0.861 0.696 0.711 1
Ge3 Ge 0.696 0.861 0.211 1
O12 O 0.148 0.175 0.530 1
Ge4 Ge 0.304 0.139 0.789 1
```

**Symmetry**: C2/c (15)
**Calculated volume**: 16.61 Å³ per atom
**Energy relative to the elements, uncorrected**: -212.3 kJ per mole of atoms
**DOS at the Fermi energy**: 0.00 states/eV/cell
**Uncorrected energy**: -6.689 eV/atom

BeTeRu | PBE | relaxed

Structure (CIF):
```
data_BeTeRu
_chemical_formula_sum 'Be1 Te1 Ru1'
_symmetry_space_group_name_H-M 'P 1'
_symmetry_Int_Tables_number 1
_symmetry_space_group_name_Hall 'P 1'
_cell_length_a 3.154
_cell_length_b 3.154
_cell_length_c 5.753
_cell_angle_alpha 90.00
_cell_angle_beta 90.00
_cell_angle_gamma 120.00
loop_
_atom_site_label
_atom_site_type_symbol
_atom_site_fract_x
_atom_site_fract_y
_atom_site_fract_z
_atom_site_occupancy
Be1 Be 0.000 0.000 0.041 1
Ru1 Ru 0.333 0.667 0.309 1
Te1 Te 0.667 0.333 0.651 1
```

**Symmetry**: P3m1 (156)
**Calculated volume**: 16.52 Å³ per atom
**Polymorph energy (0 for the lowest one)**: 148 meV/atom
**Energy relative to the elements, uncorrected**: 34.2 kJ per mole of atoms
**DOS at the Fermi energy**: 1.61 states/eV/cell
**Uncorrected energy**: -5.027 eV/atom

LaCuH8Rh4 | PBE | relaxed

Structure (CIF):
```
data_LaCuH8Rh4
_chemical_formula_sum 'La1 Cu1 H8 Rh4'
_symmetry_space_group_name_H-M 'P 1'
_symmetry_Int_Tables_number 1
_symmetry_space_group_name_Hall 'P 1'
_cell_length_a 5.758
_cell_length_b 5.758
_cell_length_c 5.640
_cell_angle_alpha 59.30
_cell_angle_beta 59.30
_cell_angle_gamma 60.00
loop_
_atom_site_label
_atom_site_type_symbol
_atom_site_fract_x
_atom_site_fract_y
_atom_site_fract_z
_atom_site_occupancy
H1 H 0.256 0.717 0.310 1
Rh1 Rh 0.507 0.000 0.492 1
H2 H 0.717 0.717 0.310 1
H3 H 0.764 0.764 0.709 1
La1 La 0.384 0.384 0.847 1
Rh2 Rh 0.000 0.000 0.492 1
H4 H 0.219 0.869 0.694 1
H5 H 0.219 0.219 0.344 1
H6 H 0.869 0.219 0.694 1
H7 H 0.219 0.219 0.694 1
Cu1 Cu 0.995 0.995 0.014 1
Rh3 Rh 0.000 0.507 0.492 1
H8 H 0.717 0.256 0.310 1
Rh4 Rh 0.634 0.634 0.099 1
```

**Symmetry**: R3m (160)
**Calculated volume**: 9.34 Å³ per atom
**DOS at the Fermi energy**: 4.19 states/eV/cell
**Uncorrected energy**: -4.854 eV/atom

La2ReSCl | PBE | relaxed

Structure (CIF):
```
data_La2ReSCl
_chemical_formula_sum 'La2 Re1 S1 Cl1'
_symmetry_space_group_name_H-M 'P 1'
_symmetry_Int_Tables_number 1
_symmetry_space_group_name_Hall 'P 1'
_cell_length_a 5.616
_cell_length_b 4.550
_cell_length_c 5.616
_cell_angle_alpha 90.00
_cell_angle_beta 90.00
_cell_angle_gamma 90.00
loop_
_atom_site_label
_atom_site_type_symbol
_atom_site_fract_x
_atom_site_fract_y
_atom_site_fract_z
_atom_site_occupancy
La1 La 0.000 0.000 0.500 1
La2 La 0.500 0.000 0.000 1
Re1 Re 0.000 0.000 0.000 1
Cl1 Cl 0.500 0.500 0.500 1
S1 S 0.000 0.500 0.000 1
```

**Symmetry**: P4/mmm (123)
**Calculated volume**: 28.70 Å³ per atom
**Energy relative to the elements, uncorrected**: -59.2 kJ per mole of atoms
**DOS at the Fermi energy**: 4.53 states/eV/cell
**Uncorrected energy**: -6.269 eV/atom

VTeAs | PBE | relaxed

Structure (CIF):
```
data_VTeAs
_chemical_formula_sum 'V4 Te4 As4'
_symmetry_space_group_name_H-M 'P 1'
_symmetry_Int_Tables_number 1
_symmetry_space_group_name_Hall 'P 1'
_cell_length_a 6.658
_cell_length_b 6.640
_cell_length_c 6.632
_cell_angle_alpha 121.88
_cell_angle_beta 90.00
_cell_angle_gamma 90.00
loop_
_atom_site_label
_atom_site_type_symbol
_atom_site_fract_x
_atom_site_fract_y
_atom_site_fract_z
_atom_site_occupancy
V1 V 0.508 0.244 0.735 1
Te1 Te 0.133 0.161 0.844 1
V2 V 0.992 0.744 0.735 1
As1 As 0.654 0.860 0.642 1
V3 V 0.008 0.256 0.265 1
As2 As 0.846 0.360 0.642 1
Te2 Te 0.633 0.339 0.156 1
As3 As 0.154 0.640 0.358 1
As4 As 0.346 0.140 0.358 1
V4 V 0.492 0.756 0.265 1
Te3 Te 0.367 0.661 0.844 1
Te4 Te 0.867 0.839 0.156 1
```

**Symmetry**: P2_1/c (14)
**Calculated volume**: 20.75 Å³ per atom
**Energy relative to the elements, uncorrected**: -19.5 kJ per mole of atoms
**DOS at the Fermi energy**: 7.44 states/eV/cell
**Uncorrected energy**: -5.839 eV/atom

Rb2IrO3 | PBE | relaxed

Structure (CIF):
```
data_Rb2IrO3
_chemical_formula_sum 'Rb4 Ir2 O6'
_symmetry_space_group_name_H-M 'P 1'
_symmetry_Int_Tables_number 1
_symmetry_space_group_name_Hall 'P 1'
_cell_length_a 6.826
_cell_length_b 6.526
_cell_length_c 7.637
_cell_angle_alpha 97.64
_cell_angle_beta 88.03
_cell_angle_gamma 119.16
loop_
_atom_site_label
_atom_site_type_symbol
_atom_site_fract_x
_atom_site_fract_y
_atom_site_fract_z
_atom_site_occupancy
Rb1 Rb 0.000 0.000 0.000 1
Rb2 Rb 0.000 0.000 0.500 1
Ir1 Ir 0.332 0.679 0.249 1
O1 O 0.630 0.864 0.232 1
O2 O 0.255 0.392 0.325 1
Rb3 Rb 0.659 0.354 0.276 1
O3 O 0.745 0.608 0.675 1
Ir2 Ir 0.668 0.321 0.751 1
O4 O 0.898 0.271 0.790 1
O5 O 0.102 0.729 0.210 1
O6 O 0.370 0.136 0.768 1
Rb4 Rb 0.341 0.646 0.724 1
```

**Symmetry**: P-1 (2)
**Calculated volume**: 24.52 Å³ per atom
**Polymorph energy (0 for the lowest one)**: 0 meV/atom
**Energy relative to the elements, uncorrected**: -106.3 kJ per mole of atoms
**DOS at the Fermi energy**: 2.23 states/eV/cell
**Uncorrected energy**: -5.380 eV/atom

Mg2CdAs | PBE | relaxed

Structure (CIF):
```
data_Mg2CdAs
_chemical_formula_sum 'Mg2 Cd1 As1'
_symmetry_space_group_name_H-M 'P 1'
_symmetry_Int_Tables_number 1
_symmetry_space_group_name_Hall 'P 1'
_cell_length_a 3.903
_cell_length_b 3.127
_cell_length_c 7.471
_cell_angle_alpha 64.39
_cell_angle_beta 90.00
_cell_angle_gamma 90.00
loop_
_atom_site_label
_atom_site_type_symbol
_atom_site_fract_x
_atom_site_fract_y
_atom_site_fract_z
_atom_site_occupancy
Cd1 Cd 0.500 0.750 0.750 1
Mg1 Mg 0.000 0.518 0.483 1
Mg2 Mg 0.000 0.982 0.017 1
As1 As 0.500 0.250 0.250 1
```

**Symmetry**: P2/m (10)
**Calculated volume**: 20.55 Å³ per atom
**Polymorph energy (0 for the lowest one)**: 37 meV/atom
**DOS at the Fermi energy**: 1.17 states/eV/cell
**Energy relative to the elements**: -0.1934 eV per atom
**Uncorrected energy**: -2.382 eV/atom

Tl3BiO | PBE | relaxed

Structure (CIF):
```
data_Tl3BiO
_chemical_formula_sum 'Tl3 Bi1 O1'
_symmetry_space_group_name_H-M 'P 1'
_symmetry_Int_Tables_number 1
_symmetry_space_group_name_Hall 'P 1'
_cell_length_a 5.119
_cell_length_b 5.119
_cell_length_c 5.119
_cell_angle_alpha 90.00
_cell_angle_beta 90.00
_cell_angle_gamma 90.00
loop_
_atom_site_label
_atom_site_type_symbol
_atom_site_fract_x
_atom_site_fract_y
_atom_site_fract_z
_atom_site_occupancy
Tl1 Tl 0.000 0.000 0.500 1
Tl2 Tl 0.500 0.000 0.000 1
O1 O 0.000 0.000 0.000 1
Tl3 Tl 0.000 0.500 0.000 1
Bi1 Bi 0.500 0.500 0.500 1
```

**Symmetry**: Pm-3m (221)
**Calculated volume**: 26.82 Å³ per atom
**Polymorph energy (0 for the lowest one)**: 0 meV/atom
**Energy relative to the elements, uncorrected**: -12.4 kJ per mole of atoms
**DOS at the Fermi energy**: 3.51 states/eV/cell
**Uncorrected energy**: -3.316 eV/atom

KTaMnS4 | PBE | relaxed

Structure (CIF):
```
data_KTaMnS4
_chemical_formula_sum 'K2 Ta2 Mn2 S8'
_symmetry_space_group_name_H-M 'P 1'
_symmetry_Int_Tables_number 1
_symmetry_space_group_name_Hall 'P 1'
_cell_length_a 9.056
_cell_length_b 7.588
_cell_length_c 7.397
_cell_angle_alpha 119.17
_cell_angle_beta 90.00
_cell_angle_gamma 126.64
loop_
_atom_site_label
_atom_site_type_symbol
_atom_site_fract_x
_atom_site_fract_y
_atom_site_fract_z
_atom_site_occupancy
S1 S 0.679 0.987 0.243 1
K1 K 0.956 0.911 0.206 1
Mn1 Mn 0.000 0.500 0.500 1
Ta1 Ta 0.500 0.000 0.500 1
S2 S 0.747 0.495 0.288 1
Mn2 Mn 0.500 0.500 0.500 1
Ta2 Ta 0.500 0.000 0.000 1
S3 S 0.307 0.987 0.243 1
S4 S 0.253 0.505 0.712 1
S5 S 0.747 0.495 0.707 1
K2 K 0.044 0.089 0.794 1
S6 S 0.253 0.505 0.293 1
S7 S 0.321 0.013 0.757 1
S8 S 0.693 0.013 0.757 1
```

**Symmetry**: Imma (74)
**Calculated volume**: 23.15 Å³ per atom
**Energy relative to the elements, uncorrected**: -74.3 kJ per mole of atoms
**DOS at the Fermi energy**: 4.52 states/eV/cell
**Uncorrected energy**: -6.288 eV/atom

Question: Look up the DOS at the Fermi energy of the eighth one.
Answer: 7.44 states/eV/cell